# 1
{
  "formula": "Sm2NiSe",
  "functional": "GGA-PBE",
  "state": "relaxed",
  "cell": [[2.009, 1.160, 7.185], [-2.009, 1.160, 7.185], [0.000, -2.319, 7.185]],
  "species": ["Sm", "Sm", "Ni", "Se"],
  "frac_coords": [[0.000, 0.000, 0.000], [0.187, 0.187, 0.187], [0.593, 0.593, 0.593], [0.426, 0.426, 0.426]],
  "de_polymorph_mev_per_atom": 92,
  "crystal_system": "trigonal"
}

# 2
{
  "formula": "Sm8NiTe4Se3",
  "functional": "GGA-PBE",
  "state": "relaxed",
  "cell": [[7.403, -4.274, 0.000], [7.403, 4.274, 0.000], [-4.935, 0.000, 7.167]],
  "species": ["Sm", "Sm", "Sm", "Sm", "Sm", "Sm", "Sm", "Sm", "Ni", "Te", "Te", "Te", "Te", "Se", "Se", "Se"],
  "frac_coords": [[0.229, 0.759, 0.716], [0.230, 0.230, 0.718], [0.241, 0.771, 0.284], [0.258, 0.258, 0.276], [0.742, 0.742, 0.724], [0.759, 0.229, 0.716], [0.770, 0.770, 0.282], [0.771, 0.241, 0.284], [0.000, 0.000, 0.500], [0.000, 0.000, 0.000], [0.000, 0.500, 0.000], [0.500, 0.000, 0.000], [0.500, 0.500, 0.000], [0.000, 0.500, 0.500], [0.500, 0.000, 0.500], [0.500, 0.500, 0.500]],
  "crystal_system": "monoclinic"
}

# 3
{
  "formula": "Sm4NiTe2Se",
  "functional": "GGA-PBE",
  "state": "relaxed",
  "cell": [[7.488, 0.000, 0.000], [0.000, 4.158, 0.000], [-2.419, 0.000, 7.207]],
  "species": ["Sm", "Sm", "Sm", "Sm", "Ni", "Te", "Te", "Se"],
  "frac_coords": [[0.219, 0.000, 0.208], [0.252, 0.500, 0.775], [0.748, 0.500, 0.225], [0.781, 0.000, 0.792], [0.000, 0.500, 0.000], [0.000, 0.000, 0.500], [0.500, 0.500, 0.500], [0.500, 0.000, 0.000]],
  "crystal_system": "monoclinic"
}

# 4
{
  "formula": "Sm2UNiSe5",
  "functional": "GGA-PBE",
  "state": "relaxed",
  "cell": [[1.969, -8.690, 0.000], [1.969, 8.690, 0.000], [0.000, 0.000, 12.389]],
  "species": ["Sm", "Sm", "Sm", "Sm", "U", "U", "Ni", "Ni", "Se", "Se", "Se", "Se", "Se", "Se", "Se", "Se", "Se", "Se"],
  "frac_coords": [[0.105, 0.895, 0.500], [0.119, 0.881, 0.845], [0.881, 0.119, 0.345], [0.895, 0.105, 0.000], [0.174, 0.826, 0.174], [0.826, 0.174, 0.674], [0.441, 0.559, 0.573], [0.559, 0.441, 0.073], [0.016, 0.984, 0.167], [0.306, 0.694, 0.843], [0.313, 0.687, 0.507], [0.341, 0.659, 0.169], [0.499, 0.501, 0.899], [0.501, 0.499, 0.399], [0.659, 0.341, 0.669], [0.687, 0.313, 0.007], [0.694, 0.306, 0.343], [0.984, 0.016, 0.667]],
  "crystal_system": "orthorhombic"
}

Number 1: uncorrected formation energy -374 kJ/mol of formula units. Number 2: uncorrected formation energy -2243 kJ/mol of formula units. Number 3: uncorrected formation energy -945 kJ/mol of formula units. Number 4: uncorrected formation energy -1194 kJ/mol of formula units.